No. 1
A geometry-optimized Pm2Zn2Co15 structure, computed with GGA-PBE.

Calculated values
Space group = R-3m (166)
Energy of formation = -0.061 eV/atom
Calculated density = 8665 kg/m3
D(E_F) = 23.7 states/eV/f.u.
Magnetic moment = 20.71 μB per formula unit

Cell: 6.338 6.338 6.338 Å, 83.46 83.46 83.46°
Sites, in units of the cell vectors:
Pm  0.152  0.152  0.152
Pm  0.848  0.848  0.848
Zn  0.398  0.398  0.398
Zn  0.602  0.602  0.602
Co  0.000  0.500  0.500
Co  0.152  0.152  0.651
Co  0.152  0.651  0.152
Co  0.213  0.500  0.787
Co  0.213  0.787  0.500
Co  0.349  0.848  0.848
Co  0.500  0.000  0.500
Co  0.500  0.213  0.787
Co  0.500  0.500  0.000
Co  0.500  0.787  0.213
Co  0.651  0.152  0.152
Co  0.787  0.213  0.500
Co  0.787  0.500  0.213
Co  0.848  0.349  0.848
Co  0.848  0.848  0.349

=====

No. 2
A geometry-optimized SiAsOsBr2 structure, computed with GGA-PBE.

Calculated values
Space group = P4/mmm (123)
Uncorrected formation energy = 926 meV per atom
Calculated density = 5969 kg/m3
D(E_F) = 4.0 states/eV/f.u.
Relative energy among the computed polymorphs = 0 meV per atom
Magnetic moment = 0.69 μB per formula unit

Cell: 5.191 5.191 4.678 Å, 90.00 90.00 90.00°
Sites, in units of the cell vectors:
Si  0.000  0.000  0.000
As  0.500  0.500  0.000
Os  0.500  0.500  0.500
Br  0.000  0.500  0.500
Br  0.500  0.000  0.500

=====

No. 3
A geometry-optimized ScPaCu structure, computed with GGA-PBE.

Calculated values
Space group = Cmcm (63)
Energy of formation = -0.050 eV/atom
Calculated density = 9190 kg/m3
D(E_F) = 4.2 states/eV/f.u.
Relative energy among the computed polymorphs = 0 meV per atom
Magnetic moment = 0.00 μB per formula unit

Cell: 8.117 8.117 4.916 Å, 90.00 90.00 157.74°
Sites, in units of the cell vectors:
Sc  0.077  0.923  0.750
Sc  0.923  0.077  0.250
Pa  0.227  0.773  0.250
Pa  0.773  0.227  0.750
Cu  0.435  0.565  0.750
Cu  0.565  0.435  0.250

=====

No. 4
A geometry-optimized PmTmS2 structure, computed with GGA-PBE.

Calculated values
Space group = R3m (160)
Uncorrected formation energy = -1968 meV per atom
Calculated density = 7147 kg/m3
D(E_F) = 0.6 states/eV/f.u.
Relative energy among the computed polymorphs = 25 meV per atom
Magnetic moment = 0.00 μB per formula unit

Cell: 7.154 7.154 7.154 Å, 31.33 31.33 31.33°
Sites, in units of the cell vectors:
Pm  0.000  0.000  0.000
Tm  0.178  0.178  0.178
S  0.582  0.582  0.582
S  0.762  0.762  0.762

=====

Question: Which of these has the lowest D(E_F)?
Answer: PmTmS2